P) A relaxed structure of LiCd3Ag7. Source: Alexandria via LeMat-Bulk, functional PBE-GGA.

Cell and atoms, written as POSCAR:
```
LiCd3Ag7
1.0
2.9677 0.0000 0.0000
-1.4839 14.4990 0.0000
0.0000 0.0000 12.2875
Ag Cd Li
14 6 2
direct
0.2768 0.5535 0.4286
0.5665 0.1329 0.2500
0.6252 0.2505 0.5969
0.4819 0.9638 0.1258
0.3748 0.7495 0.0969
0.7232 0.4465 0.9286
0.5181 0.0362 0.8742
0.4819 0.9638 0.3742
0.5181 0.0362 0.6258
0.6252 0.2505 0.9031
0.2768 0.5535 0.0714
0.7232 0.4465 0.5714
0.3748 0.7495 0.4031
0.4335 0.8671 0.7500
0.9324 0.8649 0.9501
0.1849 0.3697 0.7500
0.0676 0.1351 0.4501
0.8151 0.6303 0.2500
0.9324 0.8649 0.5499
0.0676 0.1351 0.0499
0.9210 0.8419 0.2500
0.0790 0.1581 0.7500
```

Magnetic moment in μB per atom: 0.000
Density in g/cm³: 6.90


Q) A relaxed structure of LiCd3Ag7. Source: Alexandria via LeMat-Bulk, functional PBE-GGA.

Cell and atoms, written as POSCAR:
```
LiCd3Ag7
1.0
-1.6030 3.9877 -2.7324
-3.3783 -6.2047 -1.6028
-3.0633 -0.4944 6.5462
Li Ag Cd
1 7 3
direct
0.5000 0.5000 0.5000
0.6703 0.4127 0.9279
0.6457 0.7794 0.7794
0.3543 0.2206 0.2206
0.0000 0.5000 0.5000
0.6703 0.9279 0.4127
0.3297 0.5873 0.0721
0.3297 0.0721 0.5873
0.5000 0.0000 0.0000
0.0000 0.2157 0.7843
0.0000 0.7843 0.2157
```

Magnetic moment in μB per atom: 0.000
Density in g/cm³: 8.24


Energies in meV per atom, measured from the most stable structure: P) 23; Q) 0.


P) A relaxed structure of Li5Cd2Ag3. Source: Alexandria via LeMat-Bulk, functional PBE-GGA.

Cell and atoms, written as POSCAR:
```
Li5Cd2Ag3
1.0
-0.0970 4.0664 -3.3186
-8.4791 1.1274 -2.5227
1.6371 7.3397 4.7936
Ag Li Cd
6 10 4
direct
0.2500 0.0000 0.0000
0.2612 0.5732 0.9045
0.7388 0.4268 0.0955
0.7500 0.0000 0.0000
0.2388 0.0955 0.4268
0.7612 0.9045 0.5732
0.4989 0.2511 0.2511
0.9989 0.2511 0.2511
0.2500 0.5000 0.5000
0.5011 0.7489 0.7489
0.5891 0.7447 0.0771
0.0891 0.0771 0.7447
0.7500 0.5000 0.5000
0.4109 0.2553 0.9229
0.0011 0.7489 0.7489
0.9109 0.9229 0.2553
0.4046 0.7607 0.4302
0.5954 0.2393 0.5698
0.9046 0.4302 0.7607
0.0954 0.5698 0.2393
```

Magnetic moment in μB per atom: 0.000
Density in g/cm³: 5.40


Q) A relaxed structure of Li5Cd2Ag3. Source: Alexandria via LeMat-Bulk, functional PBE-GGA.

Cell and atoms, written as POSCAR:
```
Li5Cd2Ag3
1.0
-1.8858 3.9895 3.3604
-7.2278 -3.6448 -0.1490
4.1321 -3.4799 6.0302
Li Cd Ag
10 4 6
direct
0.6064 0.2734 0.9693
0.8936 0.0307 0.7266
0.7500 0.5427 0.4573
0.9970 0.7143 0.8062
0.0030 0.2857 0.1938
0.3936 0.7266 0.0307
0.5030 0.1938 0.2857
0.2500 0.4573 0.5427
0.4970 0.8062 0.7143
0.1064 0.9693 0.2734
0.6292 0.8727 0.3821
0.1292 0.3821 0.8727
0.3708 0.1273 0.6179
0.8708 0.6179 0.1273
0.3760 0.5164 0.2291
0.6240 0.4836 0.7709
0.2500 0.0363 0.9637
0.7500 0.9637 0.0363
0.8761 0.2291 0.5164
0.1239 0.7709 0.4836
```

Magnetic moment in μB per atom: 0.000
Density in g/cm³: 5.55


Energies in meV per atom, measured from the most stable structure: P) 94; Q) 0.